1.
Material: KNa2SiF
Method: DFT, PBE
State: relaxed

Calculated values
The calculation puts the density of states at the Fermi level at 3.402 states/eV per cell. For the uncorrected formation energy, the calculation gives -0.78 eV per atom. The value obtained for the total magnetization is 0.000 μB/cell. Its energy relative to the lowest polymorph listed for this composition is 0 meV per atom. The value obtained for the volume is 23.71 Å³ per atom.

abc: 4.786 4.786 5.174
angles: 90.00 90.00 90.00
Space group P4/mmm (No. 123)
Inequivalent atoms, fractional coordinates:
K1 0.000 0.000 0.000 (multiplicity 1)
Na1 0.000 0.500 0.500 (multiplicity 2)
Si1 0.500 0.500 0.000 (multiplicity 1)
F1 0.000 0.000 0.500 (multiplicity 1)

2.
Material: ZrTi5Nb2
Method: DFT, PBE
State: relaxed

Calculated values
As for the formation energy: 0.0652 eV per atom. The calculation puts the density of states at the Fermi level at 38.882 states/eV per cell. The value obtained for the total magnetization is 0.001 μB/cell. The value obtained for the volume is 18.16 Å³ per atom.

abc: 6.687 8.978 9.678
angles: 90.00 90.00 90.00
Space group Fmm2 (No. 42)
Inequivalent atoms, fractional coordinates:
Zr1 0.000 0.000 0.000 (multiplicity 4)
Ti1 0.000 0.000 0.501 (multiplicity 4)
Ti2 0.243 0.000 0.250 (multiplicity 8)
Ti3 0.250 0.250 0.449 (multiplicity 8)
Nb1 0.000 0.243 0.709 (multiplicity 8)